# 1
Below is a relaxed Zn3GaRh2 crystal, with properties calculated at the PBE level. Values from VASP.

## Properties
DFT formation energy: -0.37 eV per atom
magnetic moment: 0.000 μB/f.u.

Quantum ESPRESSO input file:
```
&SYSTEM
  ibrav = 0, nat = 12, ntyp = 3
/
ATOMIC_SPECIES
Zn 65.41 Zn.upf
Rh 102.91 Rh.upf
Ga 69.72 Ga.upf
ATOMIC_POSITIONS crystal
Zn 0.533 0.783 0.067
Zn 0.625 0.375 0.250
Zn 0.783 0.533 0.567
Zn 0.375 0.625 0.750
Zn 0.217 0.467 0.433
Zn 0.467 0.217 0.933
Rh 0.693 0.944 0.387
Rh 0.944 0.693 0.887
Rh 0.056 0.307 0.113
Rh 0.307 0.056 0.613
Ga 0.125 0.875 0.250
Ga 0.875 0.125 0.750
CELL_PARAMETERS angstrom
4.682 -0.536 -0.880
-1.651 4.414 -0.880
0.147 0.188 8.515
```

---

# 2
Below is a relaxed Zn6GaRh2 crystal, with properties calculated at the PBE level. Values from VASP.

## Properties
DFT formation energy: -0.29 eV per atom
magnetic moment: 0.000 μB/f.u.

Quantum ESPRESSO input file:
```
&SYSTEM
  ibrav = 0, nat = 9, ntyp = 3
/
ATOMIC_SPECIES
Zn 65.41 Zn.upf
Rh 102.91 Rh.upf
Ga 69.72 Ga.upf
ATOMIC_POSITIONS crystal
Zn 0.395 0.853 0.790
Zn 0.828 0.502 0.656
Zn 0.272 0.157 0.545
Zn 0.728 0.843 0.455
Zn 0.172 0.498 0.344
Zn 0.605 0.147 0.210
Rh 0.052 0.799 0.105
Rh 0.948 0.201 0.895
Ga 0.500 0.500 0.000
CELL_PARAMETERS angstrom
-1.145 -1.329 -3.360
4.079 3.426 -2.745
2.985 -4.690 2.976
```

---

# 3
Below is a relaxed Zn2GaRh2 crystal, with properties calculated at the PBE level. Values from VASP.

## Properties
DFT formation energy: -0.38 eV per atom
energy relative to the lowest polymorph listed for this composition: 52.4 meV/atom
magnetic moment: 0.000 μB/f.u.

Quantum ESPRESSO input file:
```
&SYSTEM
  ibrav = 0, nat = 5, ntyp = 3
/
ATOMIC_SPECIES
Rh 102.91 Rh.upf
Zn 65.41 Zn.upf
Ga 69.72 Ga.upf
ATOMIC_POSITIONS crystal
Rh 0.334 0.334 0.184
Rh 0.666 0.666 0.816
Zn 0.668 0.668 0.301
Zn 0.332 0.332 0.699
Ga 0.000 0.000 0.000
CELL_PARAMETERS angstrom
-6.229 -1.765 1.711
-3.834 -5.221 1.700
-2.714 -1.894 4.002
```

---

# 4
Below is a relaxed ZnGaRh crystal, with properties calculated at the PBE level. Values from VASP.

## Properties
DFT formation energy: -0.47 eV per atom
magnetic moment: 0.000 μB/f.u.

Quantum ESPRESSO input file:
```
&SYSTEM
  ibrav = 0, nat = 3, ntyp = 3
/
ATOMIC_SPECIES
Ga 69.72 Ga.upf
Rh 102.91 Rh.upf
Zn 65.41 Zn.upf
ATOMIC_POSITIONS crystal
Ga 0.000 0.500 0.500
Rh 0.500 0.000 0.500
Zn 0.000 0.000 0.000
CELL_PARAMETERS angstrom
-0.113 -2.786 -0.477
3.626 -0.498 2.048
-2.186 -0.552 3.738
```